AlCd2SnC, optimized geometry, DFT GGA-PBE; mass density = 5.882 g cm⁻³; crystal system = tetragonal; energy relative to the elements = 0.855 eV per atom; magnetic moment = 0.0 μB per formula unit
1.0
4.4035 0.0000 0.0000
0.0000 4.4035 0.0000
0.0000 0.0000 5.5693
Al Cd Sn C
1 2 1 1
Cartesian
0.0000 0.0000 0.0000 Al
0.0000 2.2018 2.7846 Cd
2.2018 0.0000 2.7846 Cd
2.2018 2.2018 0.0000 Sn
2.2018 2.2018 2.7846 C

SrLiNdBi, optimized geometry, DFT GGA-PBE; mass density = 5.957 g cm⁻³; crystal system = cubic; energy relative to the elements = -0.353 eV per atom; magnetic moment = 0.0 μB per formula unit
1.0
7.9331 0.0000 0.0000
0.0000 7.9331 0.0000
0.0000 0.0000 7.9331
Sr Li Nd Bi
4 4 4 4
Cartesian
0.0000 0.0000 0.0000 Sr
0.0000 3.9665 3.9665 Sr
3.9665 0.0000 3.9665 Sr
3.9665 3.9665 0.0000 Sr
1.9833 1.9833 5.9498 Li
1.9833 5.9498 1.9833 Li
5.9498 1.9833 1.9833 Li
5.9498 5.9498 5.9498 Li
0.0000 0.0000 3.9665 Nd
0.0000 3.9665 0.0000 Nd
3.9665 0.0000 0.0000 Nd
3.9665 3.9665 3.9665 Nd
1.9833 1.9833 1.9833 Bi
1.9833 5.9498 5.9498 Bi
5.9498 1.9833 5.9498 Bi
5.9498 5.9498 1.9833 Bi

PrNdGe2, optimized geometry, DFT GGA-PBE; mass density = 6.283 g cm⁻³; crystal system = trigonal; energy relative to the elements = -0.647 eV per atom; magnetic moment = 0.0 μB per formula unit; excess energy over the best structure of this formula in the dataset = 195 meV per atom
1.0
4.3336 0.0000 0.0000
-2.1668 3.7530 0.0000
0.0000 0.0000 20.9843
Pr Nd Ge
3 3 6
Cartesian
0.0000 0.0000 0.0000 Pr
0.0000 2.5020 13.9896 Pr
2.1668 1.2510 6.9948 Pr
0.0000 0.0000 10.4922 Nd
0.0000 2.5020 3.4974 Nd
2.1668 1.2510 17.4869 Nd
0.0000 0.0000 5.2281 Ge
0.0000 0.0000 15.7562 Ge
0.0000 2.5020 8.7614 Ge
0.0000 2.5020 19.2177 Ge
2.1668 1.2510 1.7667 Ge
2.1668 1.2510 12.2229 Ge

BaNaCoP, optimized geometry, DFT GGA-PBE; mass density = 3.963 g cm⁻³; crystal system = tetragonal; energy relative to the elements = -0.480 eV per atom; magnetic moment = 0.7 μB per formula unit
1.0
4.0059 0.0000 0.0000
0.0000 4.0059 0.0000
0.0000 0.0000 13.0671
Ba Na Co P
2 2 2 2
Cartesian
1.0015 1.0015 2.7237 Ba
3.0045 3.0045 10.3434 Ba
1.0015 3.0045 6.5335 Na
3.0045 1.0015 6.5335 Na
1.0015 3.0045 0.0000 Co
3.0045 1.0015 0.0000 Co
1.0015 1.0015 11.9933 P
3.0045 3.0045 1.0738 P

KRh2Se, optimized geometry, DFT GGA-PBE; mass density = 6.861 g cm⁻³; crystal system = tetragonal; magnetic moment = 0.0 μB per formula unit; uncorrected formation energy = 0.261 eV/atom
1.0
3.0725 0.0000 0.0000
0.0000 3.0725 0.0000
0.0000 0.0000 8.3036
K Rh Se
1 2 1
Cartesian
0.0000 0.0000 0.0000 K
1.5362 1.5362 2.6872 Rh
1.5362 1.5362 5.6164 Rh
0.0000 0.0000 4.1518 Se

ReTe2RuI, optimized geometry, DFT GGA-PBE; mass density = 7.441 g cm⁻³; crystal system = tetragonal; magnetic moment = 2.6 μB per formula unit; excess energy over the best structure of this formula in the dataset = 0 meV per atom; uncorrected formation energy = 1.441 eV/atom
1.0
5.1187 0.0000 0.0000
0.0000 5.1187 0.0000
0.0000 0.0000 5.7014
Re Te Ru I
1 2 1 1
Cartesian
0.0000 0.0000 0.0000 Re
0.0000 2.5593 0.0000 Te
2.5593 0.0000 0.0000 Te
2.5593 2.5593 2.8507 Ru
0.0000 0.0000 2.8507 I

Y5TmIr6, optimized geometry, DFT GGA-PBE; mass density = 12.181 g cm⁻³; crystal system = monoclinic; energy relative to the elements = -0.804 eV per atom; magnetic moment = 0.0 μB per formula unit
1.0
4.7308 0.0000 0.0000
0.0000 7.1642 0.0000
-2.3550 0.0000 7.1063
Y Tm Ir
5 1 6
Cartesian
0.0000 0.0000 0.0000 Y
0.0070 0.0000 4.7382 Y
0.0070 3.5821 4.7425 Y
2.3689 3.5821 2.3638 Y
2.3688 0.0000 2.3681 Y
0.0000 3.5821 0.0000 Tm
0.0033 1.8028 2.3527 Ir
0.0033 5.3614 2.3527 Ir
2.3654 1.8147 0.0000 Ir
2.3654 5.3495 0.0000 Ir
2.3725 1.8028 4.7536 Ir
2.3725 5.3614 4.7536 Ir

NiTe3N, optimized geometry, DFT GGA-PBE; mass density = 7.318 g cm⁻³; crystal system = cubic; magnetic moment = 1.1 μB per formula unit; excess energy over the best structure of this formula in the dataset = 0 meV per atom; uncorrected formation energy = 0.993 eV/atom
1.0
4.6930 0.0000 0.0000
0.0000 4.6930 0.0000
0.0000 0.0000 4.6930
Ni Te N
1 3 1
Cartesian
0.0000 0.0000 0.0000 Ni
0.0000 2.3465 2.3465 Te
2.3465 0.0000 2.3465 Te
2.3465 2.3465 0.0000 Te
2.3465 2.3465 2.3465 N

What is the mass density in the eighth record?
7.318 g cm⁻³